CsSc2AgS4 | PBE | relaxed

Unit cell a=3.9480 b=7.1825 c=13.8173 alpha=90.00 beta=90.00 gamma=105.95
Last column: nearest neighbours and their distance in Å.
Fractional positions:
S (0.4336, 0.8672, 0.7500)  2 Ag 2.45, 2 Sc 2.69
Sc (0.3709, 0.7418, 0.9344)  6 S 2.59-2.81
Sc (0.6291, 0.2582, 0.0656)  6 S 2.59-2.81
Ag (0.1715, 0.3430, 0.2500)  4 S 2.45-2.46
Cs (0.8839, 0.7678, 0.2500)  6 S 3.20-3.51, 2 Ag 3.54
S (0.7514, 0.5028, 0.5893)  1 Ag 2.46, 3 Sc 2.59-2.73
Sc (0.6291, 0.2582, 0.4344)  6 S 2.59-2.81
S (0.0000, 0.0000, 0.0000)  4 Sc 2.81
Sc (0.3709, 0.7418, 0.5656)  6 S 2.59-2.81
Ag (0.8285, 0.6570, 0.7500)  4 S 2.45-2.46
S (0.0000, 0.0000, 0.5000)  4 Sc 2.81
S (0.2486, 0.4972, 0.4107)  1 Ag 2.46, 3 Sc 2.59-2.73
S (0.5664, 0.1328, 0.2500)  2 Ag 2.45, 2 Sc 2.69
Cs (0.1161, 0.2322, 0.7500)  6 S 3.20-3.51, 2 Ag 3.54
S (0.2486, 0.4972, 0.0893)  1 Ag 2.46, 3 Sc 2.59-2.73
S (0.7514, 0.5028, 0.9107)  1 Ag 2.46, 3 Sc 2.59-2.73

Output
The calculation puts the calculated total energy at -5.4550 eV/atom. As for the space group: Cmcm.


BaTa2SeBr | PBE | relaxed

Unit cell a=4.8118 b=6.8068 c=4.8118 alpha=90.00 beta=90.00 gamma=90.00
Last column: nearest neighbours and their distance in Å.
Fractional positions:
Br (0.5000, 0.5000, 0.5000)  4 Ba 3.40
Se (0.0000, 0.0000, 0.0000)  4 Ta 2.41
Ta (0.5000, 0.0000, 0.0000)  2 Se 2.41
Ba (0.0000, 0.5000, 0.0000)  4 Br 3.40, 2 Se 3.40
Ta (0.0000, 0.0000, 0.5000)  2 Se 2.41

Output
The value obtained for the density of states at the Fermi level is 3.8 states/eV/cell. The calculation puts the calculated total energy at -5.7131 eV/atom. As for the space group: P4/mmm.


Nd6AlAg | PBE | relaxed

Unit cell a=9.0787 b=8.5910 c=6.2473 alpha=46.60 beta=43.44 gamma=58.18
Last column: nearest neighbours and their distance in Å.
Fractional positions:
Ag (0.0000, 0.0000, 0.0000)  6 Nd 3.17
Nd (0.4508, 0.7503, 0.8268)  2 Nd 3.15-3.25, 1 Ag 3.17, 1 Al 3.44
Nd (0.2502, 0.0304, 0.2685)  2 Nd 3.15-3.26, 1 Ag 3.17, 1 Al 3.42
Nd (0.5492, 0.2497, 0.1732)  2 Nd 3.15-3.25, 1 Ag 3.17, 1 Al 3.44
Nd (0.0293, 0.4512, 0.7695)  2 Nd 3.15-3.25, 1 Ag 3.17, 1 Al 3.43
Al (0.5000, 0.5000, 0.5000)  12 Nd 3.42-3.58
Nd (0.7498, 0.9696, 0.7315)  2 Nd 3.15-3.26, 1 Ag 3.17, 1 Al 3.42
Nd (0.9707, 0.5488, 0.2305)  2 Nd 3.15-3.25, 1 Ag 3.17, 1 Al 3.43

Output
The value obtained for the density of states at the Fermi level is 8.0 states/eV/cell. As for the space group: P-1. The formation energy is -0.05 eV per atom.


Pm5TlGe4 | PBE | relaxed

Unit cell a=6.1668 b=7.4423 c=7.4423 alpha=80.12 beta=65.52 gamma=65.52
Last column: nearest neighbours and their distance in Å.
Fractional positions:
Pm (0.5883, 0.0000, 0.0000)  2 Tl 2.96-3.21, 4 Ge 3.09
Ge (0.1814, 0.1850, 0.4045)  6 Pm 2.93-3.10
Tl (0.1082, 0.0000, 0.0000)  2 Pm 2.96-3.21
Pm (0.6569, 0.2148, 0.4259)  5 Ge 2.93-3.10
Pm (0.0828, 0.5741, 0.2148)  5 Ge 2.93-3.10
Ge (0.3664, 0.4045, 0.8150)  6 Pm 2.93-3.10
Ge (0.7709, 0.8150, 0.5955)  6 Pm 2.93-3.10
Pm (0.8718, 0.4259, 0.7852)  5 Ge 2.93-3.10
Ge (0.5859, 0.5955, 0.1850)  6 Pm 2.93-3.10
Pm (0.2976, 0.7852, 0.5741)  5 Ge 2.93-3.10

Output
The value obtained for the density of states at the Fermi level is 7.5 states/eV/cell. As for the space group: I4. The formation energy is -0.58 eV per atom.


LaHfAu | PBE | relaxed

Unit cell a=8.0991 b=8.6609 c=4.6729 alpha=90.00 beta=90.00 gamma=90.00
Last column: nearest neighbours and their distance in Å.
Fractional positions:
Hf (0.1667, 0.7500, 0.5000)  3 Au 2.70
La (0.5000, 0.0000, 0.5000)  6 Au 3.46, 6 Hf 3.46
Hf (0.6667, 0.7500, 0.0000)  3 Au 2.70
La (0.0000, 0.0000, 0.0000)  6 Au 3.46, 6 Hf 3.46
Au (0.1666, 0.2500, 0.5000)  3 Hf 2.70
Au (0.6666, 0.2500, 0.0000)  3 Hf 2.70
Hf (0.8333, 0.2500, 0.5000)  3 Au 2.70
Hf (0.3333, 0.2500, 0.0000)  3 Au 2.70
Au (0.8334, 0.7500, 0.5000)  3 Hf 2.70
La (0.0000, 0.5000, 0.0000)  6 Au 3.46, 6 Hf 3.46
La (0.5000, 0.5000, 0.5000)  6 Au 3.46, 6 Hf 3.46
Au (0.3334, 0.7500, 0.0000)  3 Hf 2.70

Output
The value obtained for the density of states at the Fermi level is 10.8 states/eV/cell. As for the space group: P6_3/mmc. The formation energy is -0.20 eV per atom.


LaTlFe2 | PBE | relaxed

Unit cell a=8.1729 b=8.1729 c=8.1729 alpha=24.92 beta=24.92 gamma=24.92
Last column: nearest neighbours and their distance in Å.
Fractional positions:
La (0.2500, 0.2500, 0.2500)  6 Fe 2.89
Tl (0.7500, 0.7500, 0.7500)  6 Fe 2.79
Fe (0.4968, 0.4968, 0.4968)  3 Tl 2.79, 3 La 2.89
Fe (0.0032, 0.0032, 0.0032)  3 Tl 2.79, 3 La 2.89

Output
The value obtained for the density of states at the Fermi level is 4.8 states/eV/cell. As for the space group: R-3m. The formation energy is 0.71 eV per atom.